First-principles (PBE-GGA) data for a relaxed structure of LiCa3Ir, as listed in Alexandria via LeMat-Bulk.

The structure in POSCAR format:
```
LiCa3Ir
1.0
5.549 0.000 0.000
0.000 5.549 0.000
0.000 0.000 5.549
Ca Ir Li
3 1 1
Direct
0.000 0.500 0.000
0.000 0.000 0.500
0.500 0.000 0.000
0.000 0.000 0.000
0.500 0.500 0.500
```

## Properties
DFT formation energy = -0.1529 eV/atom
space-group type = Pm-3m (221)
E_tot = -3.5088 eV per atom
offset from the most stable computed form = 73 meV/atom
total magnetic moment = 0.00 Bohr magnetons per cell